Entry 1:
Material: MgTiMo3
Method: DFT, GGA-PBE
State: optimized geometry

Unit cell a=4.6141 b=4.6141 c=4.6141 alpha=90.00 beta=90.00 gamma=90.00
Fractional coordinates of all 5 atoms:
Mg 0.0000 0.0000 0.0000
Ti 0.5000 0.5000 0.5000
Mo 0.0000 0.5000 0.5000
Mo 0.5000 0.0000 0.5000
Mo 0.5000 0.5000 0.0000

Calculated values
mass density: 6.085 g cm⁻³
offset from the most stable computed form: 0 meV/atom
calculated total energy: -35.492 eV for the cell shown

=====

Entry 2:
Material: Rb3YTe3
Method: DFT, GGA-PBE
State: optimized geometry

Unit cell a=9.2838 b=9.2838 c=8.9859 alpha=95.64 beta=95.64 gamma=113.89
Fractional coordinates of all 14 atoms:
Rb 0.1764 0.8236 0.0000
Rb 0.2451 0.7549 0.5000
Rb 0.3897 0.3897 0.1354
Rb 0.6103 0.6103 0.8646
Rb 0.7549 0.2451 0.5000
Rb 0.8236 0.1764 0.0000
Y 0.1785 0.1785 0.6433
Y 0.8215 0.8215 0.3567
Te 0.1033 0.1033 0.3052
Te 0.1584 0.4639 0.7784
Te 0.4639 0.1584 0.7784
Te 0.5361 0.8416 0.2216
Te 0.8416 0.5361 0.2216
Te 0.8967 0.8967 0.6948

Calculated values
mass density: 3.472 g cm⁻³
E_form (uncorrected): -1183.2 meV/atom
calculated total energy: -54.148 eV for the cell shown

=====

> What is the calculated total energy in the first record?

-35.492 eV for the cell shown